Record 1
## MnNbFeAu (PBE)

Data for an optimized crystal structure of MnNbFeAu.

Unit cell a=4.410 b=4.410 c=4.410 alpha=60.00 beta=60.00 gamma=60.00
Each line ends with the local moment (μB).
Atoms (fractional coordinates):
Au 0.750 0.750 0.750  0.07
Mn 0.000 0.000 0.000  3.16
Fe 0.500 0.500 0.500  2.42
Nb 0.250 0.250 0.250  -0.85

Properties
* energy of formation: 0.07 eV/atom

Record 2
## Sr3Pm3YS8 (PBE)

Data for an optimized crystal structure of Sr3Pm3YS8.

Unit cell a=8.158 b=8.158 c=8.360 alpha=119.21 beta=90.00 gamma=120.00
Atoms (fractional coordinates):
S 0.238 0.989 0.727
S 0.762 0.011 0.273
Sr 0.000 0.500 0.000
S 0.746 0.492 0.738
S 0.249 0.011 0.273
S 0.751 0.989 0.727
Sr 0.500 0.500 0.000
Y 0.000 0.000 0.500
Sr 0.000 0.000 0.000
Pm 0.500 0.500 0.500
S 0.238 0.476 0.727
Pm 0.500 0.000 0.500
Pm 0.000 0.500 0.500
S 0.254 0.508 0.262
S 0.762 0.524 0.273

Properties
* ΔE_f (raw): -2086 meV/atom